This record from Alexandria describes a relaxed EuTlGaCu crystal. The functional is PBE.

Unit cell a=5.0023 b=5.0023 c=5.0023 alpha=60.00 beta=60.00 gamma=60.00
With the nearest neighbours (Å) after each atom.
Atoms (fractional coordinates):
Tl 0.5000 0.5000 0.5000  4 Cu 3.06, 4 Ga 3.06
Cu 0.2500 0.2500 0.2500  4 Tl 3.06, 4 Eu 3.06
Eu 0.0000 0.0000 0.0000  4 Ga 3.06, 4 Cu 3.06
Ga 0.7500 0.7500 0.7500  4 Eu 3.06, 4 Tl 3.06

Properties
E_tot ... -5.083 eV/atom

=====

This record from Alexandria describes a relaxed VAg4Au2Se2 crystal. The functional is PBE.

Unit cell a=3.1636 b=3.1636 c=19.5475 alpha=90.00 beta=90.00 gamma=120.00
With the nearest neighbours (Å) after each atom.
Atoms (fractional coordinates):
Au 0.6667 0.3333 0.6460  6 Ag 2.87-2.90, 6 Au 3.16
Au 0.0000 0.0000 0.9910  6 Ag 2.87-2.90, 6 Au 3.16
Se 0.6667 0.3333 0.4052  3 V 2.45
Se 0.6667 0.3333 0.2395  3 V 2.44, 1 Ag 2.64
Ag 0.6667 0.3333 0.1042  1 Se 2.64, 3 Au 2.87
Ag 0.0000 0.0000 0.5327  3 Au 2.87, 3 Se 3.09, 6 Ag 3.16
Ag 0.6667 0.3333 0.8755  9 Ag 2.88-3.16, 3 Au 2.90
Ag 0.0000 0.0000 0.7613  9 Ag 2.88-3.16, 3 Au 2.90
V 0.0000 0.0000 0.3219  6 Se 2.44-2.45

Properties
E_tot ... -3.919 eV/atom

=====

This record from Alexandria describes a relaxed Tl4Cu5Se6 crystal. The functional is PBE.

Unit cell a=4.0270 b=10.1898 c=17.8895 alpha=90.00 beta=90.00 gamma=101.40
With the nearest neighbours (Å) after each atom.
Atoms (fractional coordinates):
Se 0.2143 0.4286 0.5338  4 Cu 2.44-2.48
Se 0.7857 0.5714 0.0338  4 Cu 2.44-2.48
Se 0.4036 0.8073 0.3623  1 Cu 2.41
Se 0.4451 0.8902 0.1280  4 Cu 2.40-2.67
Se 0.7860 0.5721 0.2231  4 Cu 2.42-2.47
Se 0.5549 0.1098 0.6280  4 Cu 2.40-2.67
Se 0.5964 0.1927 0.8623  1 Cu 2.41
Se 0.2140 0.4279 0.7231  4 Cu 2.42-2.47
Se 0.1295 0.2589 0.1516  4 Cu 2.42-2.47
Se 0.8705 0.7411 0.6516  4 Cu 2.42-2.47
Se 0.5856 0.1711 0.4022  1 Cu 2.40
Se 0.4144 0.8289 0.9022  1 Cu 2.40
Cu 0.6981 0.3961 0.1284  4 Se 2.44-2.47, 1 Cu 2.65
Cu 0.6458 0.2916 0.5184  4 Se 2.40-2.67
Cu 0.5652 0.1304 0.1294  3 Se 2.40-2.42, 1 Cu 2.65
Cu 0.3542 0.7084 0.0184  4 Se 2.40-2.67
Cu 0.6486 0.2972 0.7412  3 Se 2.41-2.42
Cu 0.3019 0.6039 0.6284  4 Se 2.44-2.47, 1 Cu 2.65
Cu 0.4348 0.8696 0.6294  3 Se 2.40-2.42, 1 Cu 2.65
Cu 0.8762 0.7524 0.1289  4 Se 2.44-2.48
Cu 0.3514 0.7028 0.2412  3 Se 2.41-2.42
Cu 0.1238 0.2476 0.6289  4 Se 2.44-2.48
Tl 0.1778 0.3555 0.3299  3 Se 3.02-3.33
Tl 0.0105 0.0211 0.9842  6 Se 3.14-3.52, 2 Cu 3.46
Tl 0.1971 0.3943 0.9152  2 Se 3.00
Tl 0.8029 0.6057 0.4152  2 Se 3.00
Tl 0.9895 0.9789 0.4842  6 Se 3.14-3.52, 2 Cu 3.46
Tl 0.0023 0.0046 0.7788  5 Se 3.13-3.48
Tl 0.9977 0.9954 0.2788  5 Se 3.13-3.48
Tl 0.8222 0.6445 0.8299  3 Se 3.02-3.33

Properties
E_tot ... -3.587 eV/atom

=====

This record from Alexandria describes a relaxed TaIn2S crystal. The functional is PBE.

Unit cell a=7.7595 b=7.7595 c=6.1838 alpha=51.14 beta=51.14 gamma=90.00
With the nearest neighbours (Å) after each atom.
Atoms (fractional coordinates):
Ta 0.7500 0.2500 0.5000  2 S 2.85, 4 In 2.92
Ta 0.0000 0.0000 0.0000  2 S 2.85, 4 In 2.92
S 0.5000 0.5000 0.0000  4 In 2.76, 2 Ta 2.85
S 0.2500 0.7500 0.5000  4 In 2.76, 2 Ta 2.85
In 0.1401 0.6250 0.2500  2 S 2.76, 2 In 2.86, 2 Ta 2.92
In 0.3750 0.3901 0.7500  2 S 2.76, 2 In 2.86, 2 Ta 2.92
In 0.8750 0.8599 0.7500  2 S 2.76, 2 In 2.86, 2 Ta 2.92
In 0.6099 0.1250 0.2500  2 S 2.76, 2 In 2.86, 2 Ta 2.92

Properties
E_tot ... -4.826 eV/atom

=====

This record from Alexandria describes a relaxed CaUTiO6 crystal. The functional is PBE.

Unit cell a=5.4506 b=5.4506 c=9.8658 alpha=90.00 beta=90.00 gamma=120.00
With the nearest neighbours (Å) after each atom.
Atoms (fractional coordinates):
Ca 0.0000 0.0000 0.5000  6 O 2.44
Ca 0.0000 0.0000 0.0000  6 O 2.44
O 0.3723 0.3583 0.3577  1 Ti 1.98, 1 U 2.09
O 0.6277 0.6417 0.6423  1 Ti 1.98, 1 U 2.09
O 0.9860 0.3583 0.1423  1 Ti 1.98, 1 U 2.09
O 0.9860 0.6277 0.3577  1 Ti 1.98, 1 U 2.09
O 0.0140 0.3723 0.6423  1 Ti 1.98, 1 U 2.09
O 0.6417 0.6277 0.1423  1 Ti 1.98, 1 U 2.09
O 0.3583 0.3723 0.8577  1 Ti 1.98, 1 U 2.09
O 0.0140 0.6417 0.8577  1 Ti 1.98, 1 U 2.09
O 0.6277 0.9860 0.8577  1 Ti 1.98, 1 U 2.09
O 0.6417 0.0140 0.3577  1 Ti 1.98, 1 U 2.09
O 0.3583 0.9860 0.6423  1 Ti 1.98, 1 U 2.09
O 0.3723 0.0140 0.1423  1 Ti 1.98, 1 U 2.09
Ti 0.6667 0.3333 0.2500  6 O 1.98
Ti 0.3333 0.6667 0.7500  6 O 1.98
U 0.3333 0.6667 0.2500  6 O 2.09
U 0.6667 0.3333 0.7500  6 O 2.09

Properties
E_tot ... -8.789 eV/atom

=====

This record from Alexandria describes a relaxed TcHPt2 crystal. The functional is PBE.

Unit cell a=2.7202 b=2.7202 c=8.2006 alpha=80.45 beta=80.45 gamma=60.00
With the nearest neighbours (Å) after each atom.
Atoms (fractional coordinates):
Tc 0.0000 0.0000 0.0000  2 Pt 2.62, 6 Tc 2.72
Pt 0.8914 0.8914 0.3258  3 H 2.11
Pt 0.1086 0.1086 0.6742  3 H 2.11
H 0.5000 0.5000 0.5000  6 Pt 2.11

Properties
E_tot ... -6.086 eV/atom

=====

This record from Alexandria describes a relaxed Ac3RhPbBr crystal. The functional is PBE.

Unit cell a=4.7152 b=8.5593 c=10.8718 alpha=111.23 beta=90.00 gamma=90.00
With the nearest neighbours (Å) after each atom.
Atoms (fractional coordinates):
Ac 0.2500 0.6998 0.4846  3 Br 3.16-3.39, 2 Pb 3.50
Ac 0.7500 0.4700 0.1422  3 Rh 2.84-3.17
Ac 0.2500 0.5300 0.8578  3 Rh 2.84-3.17
Ac 0.7500 0.3002 0.5154  3 Br 3.16-3.39, 2 Pb 3.50
Ac 0.7500 0.9156 0.1101  2 Rh 2.99, 1 Br 3.18
Ac 0.2500 0.0844 0.8899  2 Rh 2.99, 1 Br 3.18
Pb 0.2500 0.2619 0.2685  8 Ac 3.50-3.84
Pb 0.7500 0.7381 0.7315  8 Ac 3.50-3.84
Rh 0.2500 0.7132 0.1342  5 Ac 2.84-3.17
Rh 0.7500 0.2868 0.8658  5 Ac 2.84-3.17
Br 0.7500 0.8750 0.3895  5 Ac 3.16-3.54, 2 Br 3.49, 2 Rh 3.52
Br 0.2500 0.1250 0.6105  5 Ac 3.16-3.54, 2 Br 3.49, 2 Rh 3.52

Properties
E_tot ... -4.936 eV/atom

=====

This record from Alexandria describes a relaxed CaNbN2 crystal. The functional is PBE.

Unit cell a=4.0232 b=4.0232 c=4.0232 alpha=60.00 beta=60.00 gamma=60.00
With the nearest neighbours (Å) after each atom.
Atoms (fractional coordinates):
N 0.2500 0.2500 0.2500  4 Nb 2.46, 4 Ca 2.46
N 0.7500 0.7500 0.7500  4 Nb 2.46, 4 Ca 2.46
Nb 0.5000 0.5000 0.5000  8 N 2.46
Ca 0.0000 0.0000 0.0000  8 N 2.46

Properties
E_tot ... -7.179 eV/atom

=====

This record from Alexandria describes a relaxed HgAs2Pb crystal. The functional is PBE.

Unit cell a=5.3548 b=3.0832 c=6.4238 alpha=89.76 beta=90.00 gamma=90.00
With the nearest neighbours (Å) after each atom.
Atoms (fractional coordinates):
Hg 0.5000 0.2500 0.2500  2 Hg 3.08, 4 As 3.33
Pb 0.5000 0.7500 0.7500  2 Pb 3.08, 8 As 3.33
As 0.0000 0.2508 0.5579  1 As 2.47
As 0.0000 0.2492 0.9421  1 As 2.47

Properties
E_tot ... -3.143 eV/atom

=====

This record from Alexandria describes a relaxed Ba3PuS4 crystal. The functional is PBE.

Unit cell a=4.3928 b=7.6753 c=7.6753 alpha=109.27 beta=90.00 gamma=90.00
With the nearest neighbours (Å) after each atom.
Atoms (fractional coordinates):
S 0.5000 0.7638 0.2362  1 Pu 2.96, 5 Ba 3.13-3.30
S 0.0000 0.2241 0.2241  2 Pu 2.96, 4 Ba 3.14-3.29
S 0.5000 0.2362 0.7638  1 Pu 2.96, 5 Ba 3.13-3.30
S 0.0000 0.7759 0.7759  2 Pu 2.96, 4 Ba 3.14-3.29
Ba 0.0000 0.0000 0.5000  6 S 3.13-3.14
Ba 0.5000 0.5000 0.5000  6 S 3.29-3.30
Ba 0.0000 0.5000 0.0000  6 S 3.13-3.14
Pu 0.5000 0.0000 0.0000  6 S 2.96

Properties
E_tot ... -6.474 eV/atom

=====

This record from Alexandria describes a relaxed Cu2SbAu crystal. The functional is PBE.

Unit cell a=4.8491 b=4.8491 c=4.8491 alpha=129.00 beta=128.97 gamma=75.03
With the nearest neighbours (Å) after each atom.
Atoms (fractional coordinates):
Cu 0.0000 0.0000 0.0000  4 Au 2.84, 4 Sb 2.84, 4 Cu 2.95
Cu 0.5000 0.5000 0.0000  4 Au 2.84, 4 Sb 2.84, 4 Cu 2.95
Sb 0.7500 0.2500 0.5000  8 Cu 2.84, 4 Au 2.95
Au 0.2500 0.7500 0.5000  8 Cu 2.84, 4 Sb 2.95

Properties
E_tot ... -3.815 eV/atom

=====

This record from Alexandria describes a relaxed Sm2RuPt crystal. The functional is PBE.

Unit cell a=3.4961 b=3.4961 c=7.1281 alpha=90.00 beta=90.00 gamma=90.00
With the nearest neighbours (Å) after each atom.
Atoms (fractional coordinates):
Sm 0.0000 0.0000 0.7558  4 Ru 3.02, 4 Pt 3.07
Sm 0.0000 0.0000 0.2442  4 Ru 3.02, 4 Pt 3.07
Pt 0.5000 0.5000 0.5000  8 Sm 3.07
Ru 0.5000 0.5000 0.0000  8 Sm 3.02

Properties
E_tot ... -6.867 eV/atom

=====

> Which value of E_tot does entry 1 give?

-5.083 eV/atom

=====

> E_tot of number 1 (EuTlGaCu)?

-5.083 eV/atom

=====

> Among the records above, which one has the highest E_tot?

HgAs2Pb